(1)
Material: AcNd5Sm2Er
Method: DFT, PBE-GGA
State: relaxed

energy of formation from the pure elements = 0.266 eV/atom
DFT total energy = -4.395 eV per atom
D(E_F) = 1.41 states/eV per atom
size of the total moment = 0.000 μB/cell

Cell: 10.1473 10.1473 10.1473 Å, 126.88 126.88 78.45°
Element x y z (fractional)
Ac (0.2500, 0.2500, 0.0000)
Ac (0.7500, 0.7500, 0.0000)
Nd (0.0000, 0.0000, 0.0000)
Nd (0.0713, 0.5713, 0.9074)
Nd (0.1638, 0.0713, 0.5000)
Nd (0.3362, 0.8362, 0.9074)
Nd (0.4287, 0.3362, 0.5000)
Nd (0.5000, 0.5000, 0.0000)
Nd (0.5713, 0.6638, 0.5000)
Nd (0.6638, 0.1638, 0.0925)
Nd (0.8362, 0.9287, 0.5000)
Nd (0.9287, 0.4287, 0.0925)
Sm (0.1153, 0.3847, 0.5000)
Sm (0.3847, 0.8847, 0.2694)
Sm (0.6153, 0.1153, 0.7306)
Sm (0.8847, 0.6153, 0.5000)
Er (0.2500, 0.7500, 0.5000)
Er (0.7500, 0.2500, 0.5000)

=====

(2)
Material: AcNd2SmEr4
Method: DFT, PBE-GGA
State: relaxed

energy of formation from the pure elements = 0.428 eV/atom
DFT total energy = -4.149 eV per atom
D(E_F) = 2.38 states/eV per atom
size of the total moment = 0.840 μB/cell

Cell: 9.6426 9.6426 9.6426 Å, 138.04 103.23 91.58°
Element x y z (fractional)
Ac (0.0000, 0.0000, 0.0000)
Ac (0.5000, 0.0000, 0.5000)
Nd (0.0000, 0.5000, 0.5000)
Nd (0.5000, 0.0000, 0.0000)
Nd (0.5000, 0.5000, 0.0000)
Nd (0.5000, 0.5000, 0.5000)
Sm (0.0000, 0.0000, 0.5000)
Sm (0.0000, 0.5000, 0.0000)
Er (0.2403, 0.7420, 0.4983)
Er (0.2484, 0.2610, 0.5126)
Er (0.2484, 0.7358, 0.9874)
Er (0.2563, 0.2580, 0.9983)
Er (0.7437, 0.7420, 0.0017)
Er (0.7516, 0.2642, 0.0126)
Er (0.7516, 0.7390, 0.4874)
Er (0.7597, 0.2580, 0.5017)

=====

(3)
Material: AcNdSmEr
Method: DFT, PBE-GGA
State: relaxed

energy of formation from the pure elements = 0.170 eV/atom
DFT total energy = -4.370 eV per atom
D(E_F) = 2.65 states/eV per atom
size of the total moment = 0.357 μB/cell

Cell: 5.8968 5.8968 5.8968 Å, 60.00 60.00 60.00°
Element x y z (fractional)
Ac (0.0000, 0.0000, 0.0000)
Nd (0.7500, 0.7500, 0.7500)
Sm (0.2500, 0.2500, 0.2500)
Er (0.5000, 0.5000, 0.5000)

=====

(4)
Material: AcNd2Sm2Er2
Method: DFT, PBE-GGA
State: relaxed

energy of formation from the pure elements = 0.036 eV/atom
DFT total energy = -4.565 eV per atom
D(E_F) = 1.54 states/eV per atom
size of the total moment = 0.000 μB/cell

Cell: 6.3343 6.3343 8.1888 Å, 97.51 97.51 48.38°
Element x y z (fractional)
Ac (0.0000, 0.0000, 0.0000)
Nd (0.4257, 0.4257, 0.2915)
Nd (0.5743, 0.5743, 0.7085)
Sm (0.2857, 0.2857, 0.8485)
Sm (0.7143, 0.7143, 0.1515)
Er (0.1429, 0.1429, 0.4343)
Er (0.8571, 0.8571, 0.5657)

=====

(5)
Material: Ac5Nd2SmEr
Method: DFT, PBE-GGA
State: relaxed

energy of formation from the pure elements = 0.290 eV/atom
DFT total energy = -4.083 eV per atom
D(E_F) = 1.52 states/eV per atom
size of the total moment = 0.000 μB/cell

Cell: 11.9070 11.9070 11.9070 Å, 138.31 138.31 60.43°
Element x y z (fractional)
Ac (0.0000, 0.0000, 0.0000)
Ac (0.0869, 0.5869, 0.9498)
Ac (0.1371, 0.0869, 0.5000)
Ac (0.3629, 0.8629, 0.9498)
Ac (0.4131, 0.3629, 0.5000)
Ac (0.5000, 0.5000, 0.0000)
Ac (0.5869, 0.6371, 0.5000)
Ac (0.6371, 0.1371, 0.0502)
Ac (0.8629, 0.9131, 0.5000)
Ac (0.9131, 0.4131, 0.0502)
Nd (0.1223, 0.3777, 0.5000)
Nd (0.3777, 0.8777, 0.2554)
Nd (0.6223, 0.1223, 0.7446)
Nd (0.8777, 0.6223, 0.5000)
Sm (0.2500, 0.2500, 0.0000)
Sm (0.7500, 0.7500, 0.0000)
Er (0.2500, 0.7500, 0.5000)
Er (0.7500, 0.2500, 0.5000)

=====

(6)
Material: AcNd3Sm6Er2
Method: DFT, PBE-GGA
State: relaxed

energy of formation from the pure elements = 0.026 eV/atom
DFT total energy = -4.628 eV per atom
D(E_F) = 1.41 states/eV per atom
size of the total moment = 0.000 μB/cell

Cell: 6.3170 6.3170 12.1337 Å, 94.98 94.98 119.97°
Element x y z (fractional)
Ac (0.0000, 0.0000, 0.0000)
Nd (0.1672, 0.8328, 0.5000)
Nd (0.5000, 0.5000, 0.5000)
Nd (0.8328, 0.1672, 0.5000)
Sm (0.0833, 0.4201, 0.2502)
Sm (0.2533, 0.2533, 0.7495)
Sm (0.4201, 0.0833, 0.2502)
Sm (0.5799, 0.9167, 0.7498)
Sm (0.7467, 0.7467, 0.2505)
Sm (0.9167, 0.5799, 0.7498)
Er (0.3333, 0.6667, 0.0000)
Er (0.6667, 0.3333, 0.0000)